Co3PAu | PBE | relaxed

abc: 4.1501 4.1501 4.1501
angles: 90.00 90.00 90.00
Last column: nearest neighbours and their distance in Å.
Element x y z (fractional)
Co: 0.0000 0.0000 0.5000  2 P 2.08
Co: 0.0000 0.5000 0.0000  2 P 2.08
Co: 0.5000 0.0000 0.0000  2 P 2.08
P: 0.0000 0.0000 0.0000  6 Co 2.08
Au: 0.5000 0.5000 0.5000  12 Co 2.93

Calculated values
E_form	0.241	eV per atom
final energy	-28.80	eV per cell
energy above the lowest structure with this stoichiometry	0	meV per atom